VASP calculation (PBE+U) on a geometry-optimized FeAgO3 structure.

Cell: 3.9503 3.9503 3.9503 Å, 90.00 90.00 90.00°
Last column: nearest neighbours and their distance in Å.
Atoms (fractional coordinates):
1 Fe 0.0000 0.0000 0.0000  12 O 2.79
2 Ag 0.5000 0.5000 0.5000  6 O 1.98
3 O 0.0000 0.5000 0.5000  2 Ag 1.98
4 O 0.5000 0.0000 0.5000  2 Ag 1.98
5 O 0.5000 0.5000 0.0000  2 Ag 1.98

## Properties
Electronic total energy in eV per cell: -20.9